The following is a DFT calculation (PBE with a Hubbard U) of a geometry-optimized MnCrHO2 structure.

Cell: 5.5190 5.5643 5.5635 Å, 90.00 120.71 90.00°
Last column: nearest neighbours and their distance in Å.
Sites, in units of the cell vectors:
Mn1 0.3875 0.0000 0.6393  1 H 1.87
Mn2 0.3875 0.5000 0.1393  1 H 1.87
Cr1 0.1328 0.0000 0.0101  1 H 1.67
Cr2 0.1328 0.5000 0.5101  1 H 1.67
H1 0.7804 0.0000 0.8296  1 Cr 1.67, 1 Mn 1.87
H2 0.7804 0.5000 0.3296  1 Cr 1.67, 1 Mn 1.87
O1 0.2197 0.2500 0.3041  2 Cr 2.01, 2 Mn 2.12
O2 0.2197 0.7500 0.3041  2 Cr 2.01, 2 Mn 2.12
O3 0.2197 0.7500 0.8041  2 Cr 2.01, 2 Mn 2.12
O4 0.2197 0.2500 0.8041  2 Cr 2.01, 2 Mn 2.12

Properties
Mass density in Mg/m³: 3.2
Magnetic moment in μB/f.u.: 1.985
E in eV per formula unit: -33.77
Energy above the most stable polymorph in this dataset in meV/atom: 106.7